SrLiH6Pd: relaxed, PBE.

Cell and atoms, written as POSCAR:
```
SrLiH6Pd
1.0
4.784 0.000 0.000
-2.392 4.143 0.000
0.000 0.000 4.707
Sr Li H Pd
1 1 6 1
Direct
0.000 0.000 0.000
0.333 0.667 0.500
0.453 0.028 0.732
0.453 0.426 0.268
0.574 0.028 0.268
0.574 0.547 0.732
0.972 0.426 0.732
0.972 0.547 0.268
0.667 0.333 0.500
```

Calculated values
As for the total energy: -3.49 eV per atom. Its space-group type is No. 149.